DFT (GGA-PBE) results for crystalline Li3Pm2Cu12Au at its relaxed geometry.

Calculated values
**E_form**: 69 meV/atom
**Magnetic moment**: 0.0 μB per formula unit
**Crystal system**: trigonal

```
data_Li3Pm2Cu12Au
_space_group_name_H-M_alt 'R -3 m'
_space_group_IT_number 166
_space_group_name_Hall '-R 3 2"'
_cell_length_a 5.1502
_cell_length_b 5.1502
_cell_length_c 38.0467
_cell_angle_alpha 90.00
_cell_angle_beta 90.00
_cell_angle_gamma 120.00
loop_
_atom_site_label
_atom_site_type_symbol
_atom_site_fract_x
_atom_site_fract_y
_atom_site_fract_z
Li1 Li 0.0000 0.5000 0.0000
Pm1 Pm 0.0000 0.0000 0.1414
Cu1 Cu 0.0011 0.5005 0.1065
Cu2 Cu 0.0084 0.5042 0.6120
Au1 Au 0.0000 0.0000 0.5000
```

=====

DFT (GGA-PBE) results for crystalline LiPrCuAu at its relaxed geometry.

Calculated values
**E_form**: -334 meV/atom
**Magnetic moment**: 0.0 μB per formula unit
**Crystal system**: cubic

```
data_LiPrCuAu
_space_group_name_H-M_alt 'F -4 3 m'
_space_group_IT_number 216
_space_group_name_Hall 'F -4 2 3'
_cell_length_a 6.984
_cell_length_b 6.984
_cell_length_c 6.984
_cell_angle_alpha 90.00
_cell_angle_beta 90.00
_cell_angle_gamma 90.00
loop_
_atom_site_label
_atom_site_type_symbol
_atom_site_fract_x
_atom_site_fract_y
_atom_site_fract_z
Li1 Li 0.000 0.000 0.000
Pr1 Pr 0.000 0.000 0.500
Cu1 Cu 0.250 0.250 0.750
Au1 Au 0.250 0.250 0.250
```

=====

DFT (GGA-PBE) results for crystalline Li2Cu7Sb2Au at its relaxed geometry.

Calculated values
**Magnetic moment**: 0.0 μB per formula unit
**Crystal system**: monoclinic
**Energy relative to the elements, uncorrected**: -29 kJ/mol of formula units

```
data_Li2Cu7Sb2Au
_space_group_name_H-M_alt 'C 1 2/m 1'
_space_group_IT_number 12
_space_group_name_Hall '-C 2y'
_cell_length_a 5.491
_cell_length_b 5.614
_cell_length_c 11.866
_cell_angle_alpha 90.00
_cell_angle_beta 90.24
_cell_angle_gamma 90.00
loop_
_atom_site_label
_atom_site_type_symbol
_atom_site_fract_x
_atom_site_fract_y
_atom_site_fract_z
Li1 Li 0.001 0.000 0.190
Cu1 Cu 0.000 0.000 0.500
Cu2 Cu 0.242 0.000 0.000
Cu3 Cu 0.249 0.250 0.652
Sb1 Sb 0.001 0.500 0.193
Au1 Au 0.000 0.500 0.500
```

=====

DFT (GGA-PBE) results for crystalline LiCuAuSe2 at its relaxed geometry.

Calculated values
**Magnetic moment**: 0.0 μB per formula unit
**Crystal system**: tetragonal
**Energy relative to the elements, uncorrected**: 211 kJ/mol of formula units

```
data_LiCuAuSe2
_space_group_name_H-M_alt 'P 4/m m m'
_space_group_IT_number 123
_space_group_name_Hall '-P 4 2'
_cell_length_a 4.584
_cell_length_b 4.584
_cell_length_c 4.634
_cell_angle_alpha 90.00
_cell_angle_beta 90.00
_cell_angle_gamma 90.00
loop_
_atom_site_label
_atom_site_type_symbol
_atom_site_fract_x
_atom_site_fract_y
_atom_site_fract_z
Li1 Li 0.000 0.000 0.000
Cu1 Cu 0.500 0.500 0.500
Au1 Au 0.000 0.000 0.500
Se1 Se 0.000 0.500 0.000
```

=====

DFT (GGA-PBE) results for crystalline Li2CuSi2Au5 at its relaxed geometry.

Calculated values
**Magnetic moment**: 0.0 μB per formula unit
**Crystal system**: tetragonal
**Energy relative to the elements, uncorrected**: -201 kJ/mol of formula units

```
data_Li2CuSi2Au5
_space_group_name_H-M_alt 'P 4/m b m'
_space_group_IT_number 127
_space_group_name_Hall '-P 4 2ab'
_cell_length_a 10.238
_cell_length_b 10.238
_cell_length_c 3.321
_cell_angle_alpha 90.00
_cell_angle_beta 90.00
_cell_angle_gamma 90.00
loop_
_atom_site_label
_atom_site_type_symbol
_atom_site_fract_x
_atom_site_fract_y
_atom_site_fract_z
Li1 Li 0.170 0.330 0.000
Cu1 Cu 0.000 0.000 0.000
Si1 Si 0.135 0.635 0.000
Au1 Au 0.000 0.500 0.500
Au2 Au 0.063 0.806 0.500
```

=====

DFT (GGA-PBE) results for crystalline LiCuSiAu at its relaxed geometry.

Calculated values
**Magnetic moment**: 0.0 μB per formula unit
**Crystal system**: cubic
**Energy relative to the elements, uncorrected**: -95 kJ/mol of formula units

```
data_LiCuSiAu
_space_group_name_H-M_alt 'F -4 3 m'
_space_group_IT_number 216
_space_group_name_Hall 'F -4 2 3'
_cell_length_a 6.043
_cell_length_b 6.043
_cell_length_c 6.043
_cell_angle_alpha 90.00
_cell_angle_beta 90.00
_cell_angle_gamma 90.00
loop_
_atom_site_label
_atom_site_type_symbol
_atom_site_fract_x
_atom_site_fract_y
_atom_site_fract_z
Li1 Li 0.000 0.000 0.000
Cu1 Cu 0.250 0.250 0.750
Si1 Si 0.000 0.000 0.500
Au1 Au 0.250 0.250 0.250
```

=====

DFT (GGA-PBE) results for crystalline Li2Cu5Si2Au at its relaxed geometry.

Calculated values
**Magnetic moment**: 0.0 μB per formula unit
**Crystal system**: tetragonal
**Energy relative to the elements, uncorrected**: -100 kJ/mol of formula units

```
data_Li2Cu5Si2Au
_space_group_name_H-M_alt 'P 4/m b m'
_space_group_IT_number 127
_space_group_name_Hall '-P 4 2ab'
_cell_length_a 8.505
_cell_length_b 8.505
_cell_length_c 3.812
_cell_angle_alpha 90.00
_cell_angle_beta 90.00
_cell_angle_gamma 90.00
loop_
_atom_site_label
_atom_site_type_symbol
_atom_site_fract_x
_atom_site_fract_y
_atom_site_fract_z
Li1 Li 0.182 0.318 0.000
Cu1 Cu 0.000 0.500 0.500
Cu2 Cu 0.065 0.790 0.500
Si1 Si 0.113 0.613 0.000
Au1 Au 0.000 0.000 0.000
```

=====

DFT (GGA-PBE) results for crystalline LiSmCuAu at its relaxed geometry.

Calculated values
**E_form**: -367 meV/atom
**Magnetic moment**: 0.0 μB per formula unit
**Crystal system**: cubic

```
data_LiSmCuAu
_space_group_name_H-M_alt 'F -4 3 m'
_space_group_IT_number 216
_space_group_name_Hall 'F -4 2 3'
_cell_length_a 6.868
_cell_length_b 6.868
_cell_length_c 6.868
_cell_angle_alpha 90.00
_cell_angle_beta 90.00
_cell_angle_gamma 90.00
loop_
_atom_site_label
_atom_site_type_symbol
_atom_site_fract_x
_atom_site_fract_y
_atom_site_fract_z
Li1 Li 0.000 0.000 0.000
Sm1 Sm 0.000 0.000 0.500
Cu1 Cu 0.250 0.250 0.750
Au1 Au 0.250 0.250 0.250
```

=====

DFT (GGA-PBE) results for crystalline Li2Cu7Sn2Au at its relaxed geometry.

Calculated values
**E_form**: -1 meV/atom
**Magnetic moment**: 0.0 μB per formula unit
**Crystal system**: monoclinic

```
data_Li2Cu7Sn2Au
_space_group_name_H-M_alt 'C 1 2/m 1'
_space_group_IT_number 12
_space_group_name_Hall '-C 2y'
_cell_length_a 5.412
_cell_length_b 5.470
_cell_length_c 12.190
_cell_angle_alpha 90.00
_cell_angle_beta 90.17
_cell_angle_gamma 90.00
loop_
_atom_site_label
_atom_site_type_symbol
_atom_site_fract_x
_atom_site_fract_y
_atom_site_fract_z
Li1 Li 0.000 0.000 0.188
Cu1 Cu 0.000 0.000 0.500
Cu2 Cu 0.243 0.000 0.000
Cu3 Cu 0.250 0.249 0.347
Sn1 Sn 0.001 0.500 0.189
Au1 Au 0.000 0.500 0.500
```

=====

DFT (GGA-PBE) results for crystalline Li2CuSnAu5 at its relaxed geometry.

Calculated values
**E_form**: -145 meV/atom
**Magnetic moment**: 0.0 μB per formula unit
**Crystal system**: tetragonal

```
data_Li2CuSnAu5
_space_group_name_H-M_alt 'I 4/m c m'
_space_group_IT_number 140
_space_group_name_Hall '-I 4 2c'
_cell_length_a 7.653
_cell_length_b 7.653
_cell_length_c 11.041
_cell_angle_alpha 90.00
_cell_angle_beta 90.00
_cell_angle_gamma 90.00
loop_
_atom_site_label
_atom_site_type_symbol
_atom_site_fract_x
_atom_site_fract_y
_atom_site_fract_z
Li1 Li 0.108 0.392 0.000
Cu1 Cu 0.000 0.500 0.250
Sn1 Sn 0.000 0.000 0.250
Au1 Au 0.000 0.000 0.000
Au2 Au 0.200 0.300 0.372
```

=====

DFT (GGA-PBE) results for crystalline LiCuSnAu at its relaxed geometry.

Calculated values
**E_form**: -264 meV/atom
**Magnetic moment**: 0.0 μB per formula unit
**Crystal system**: cubic

```
data_LiCuSnAu
_space_group_name_H-M_alt 'F -4 3 m'
_space_group_IT_number 216
_space_group_name_Hall 'F -4 2 3'
_cell_length_a 6.472
_cell_length_b 6.472
_cell_length_c 6.472
_cell_angle_alpha 90.00
_cell_angle_beta 90.00
_cell_angle_gamma 90.00
loop_
_atom_site_label
_atom_site_type_symbol
_atom_site_fract_x
_atom_site_fract_y
_atom_site_fract_z
Li1 Li 0.000 0.000 0.000
Cu1 Cu 0.250 0.250 0.250
Sn1 Sn 0.000 0.000 0.500
Au1 Au 0.250 0.250 0.750
```

=====

DFT (GGA-PBE) results for crystalline Li2CuSnAu4 at its relaxed geometry.

Calculated values
**E_form**: -340 meV/atom
**Magnetic moment**: 0.0 μB per formula unit
**Crystal system**: trigonal

```
data_Li2CuSnAu4
_space_group_name_H-M_alt 'R -3 m'
_space_group_IT_number 166
_space_group_name_Hall '-R 3 2"'
_cell_length_a 4.5564
_cell_length_b 4.5564
_cell_length_c 22.5205
_cell_angle_alpha 90.00
_cell_angle_beta 90.00
_cell_angle_gamma 120.00
loop_
_atom_site_label
_atom_site_type_symbol
_atom_site_fract_x
_atom_site_fract_y
_atom_site_fract_z
Li1 Li 0.0000 0.0000 0.2499
Cu1 Cu 0.0000 0.0000 0.0000
Sn1 Sn 0.0000 0.0000 0.5000
Au1 Au 0.0000 0.0000 0.1160
Au2 Au 0.0000 0.0000 0.3686
```

=====

Number 7 is which compound?
Li2Cu5Si2Au

=====

magnetic moment of number 10 (Li2CuSnAu5)?
0.0 μB per formula unit